# 1
VASP calculation (PBE) on KRb6O after structural relaxation.

Output
Formation energy (no corrections) ... -275 kJ/mol of formula units
Symmetry ... No. 2
D(E_F) ... 4.97 states/eV per cell

Lattice parameters (Å, degrees): 8.869 8.880 9.387 61.98 61.89 60.05
Sites, in units of the cell vectors:
K1 0.000 0.000 0.000
Rb1 0.132 0.599 0.703
Rb2 0.401 0.433 0.297
Rb3 0.434 0.867 0.297
Rb4 0.566 0.133 0.703
Rb5 0.599 0.567 0.703
Rb6 0.868 0.401 0.297
O1 0.500 0.500 0.500

***

# 2
VASP calculation (PBE) on Al2ZnNi after structural relaxation.

Output
Energy of formation from the pure elements ... -0.21 eV/atom
Symmetry ... No. 119
D(E_F) ... 1.80 states/eV per cell

Lattice parameters (Å, degrees): 4.708 4.708 4.708 132.87 132.87 68.86
Sites, in units of the cell vectors:
Al1 0.000 0.000 0.000
Al2 0.750 0.250 0.500
Zn1 0.500 0.500 0.000
Ni1 0.250 0.750 0.500

***

# 3
VASP calculation (PBE) on CaMg after structural relaxation.

Output
Energy of formation from the pure elements ... 0.07 eV/atom
Symmetry ... No. 156
D(E_F) ... 6.54 states/eV per cell

Lattice parameters (Å, degrees): 3.691 3.691 16.751 90.00 90.00 120.00
Sites, in units of the cell vectors:
Ca1 0.000 0.000 0.000
Ca2 0.000 0.000 0.334
Ca3 0.667 0.333 0.804
Mg1 0.000 0.000 0.641
Mg2 0.667 0.333 0.167
Mg3 0.667 0.333 0.498

***

# 4
VASP calculation (PBE) on B3RuS after structural relaxation.

Output
Formation energy (no corrections) ... 859 kJ/mol of formula units
Symmetry ... No. 221
D(E_F) ... 3.59 states/eV per cell

Lattice parameters (Å, degrees): 3.776 3.776 3.776 90.00 90.00 90.00
Sites, in units of the cell vectors:
B1 0.000 0.000 0.500
B2 0.000 0.500 0.000
B3 0.500 0.000 0.000
Ru1 0.500 0.500 0.500
S1 0.000 0.000 0.000

***

# 5
VASP calculation (PBE) on K3Pm3CrS8 after structural relaxation.

Output
Formation energy (no corrections) ... -2178 kJ/mol of formula units
Symmetry ... No. 166
D(E_F) ... 8.35 states/eV per cell

Lattice parameters (Å, degrees): 8.835 8.835 8.835 53.86 53.86 53.86
Sites, in units of the cell vectors:
K1 0.000 0.500 0.500
K2 0.500 0.000 0.500
K3 0.500 0.500 0.000
Pm1 0.000 0.000 0.500
Pm2 0.000 0.500 0.000
Pm3 0.500 0.000 0.000
Cr1 0.500 0.500 0.500
S1 0.236 0.236 0.236
S2 0.268 0.709 0.709
S3 0.291 0.291 0.732
S4 0.291 0.732 0.291
S5 0.709 0.268 0.709
S6 0.709 0.709 0.268
S7 0.732 0.291 0.291
S8 0.764 0.764 0.764

***

# 6
VASP calculation (PBE) on SrP2C after structural relaxation.

Output
Energy of formation from the pure elements ... 0.03 eV/atom
Symmetry ... No. 122
D(E_F) ... 0.11 states/eV per cell

Lattice parameters (Å, degrees): 5.760 5.760 5.760 113.23 113.23 102.20
Sites, in units of the cell vectors:
Sr1 0.000 0.000 0.000
Sr2 0.750 0.250 0.500
P1 0.257 0.625 0.132
P2 0.375 0.507 0.632
P3 0.493 0.125 0.868
P4 0.875 0.743 0.368
C1 0.250 0.750 0.500
C2 0.500 0.500 0.000

***

# 7
VASP calculation (PBE) on CrOsRuRh after structural relaxation.

Output
Energy of formation from the pure elements ... 0.06 eV/atom
Symmetry ... No. 119
D(E_F) ... 4.67 states/eV per cell

Lattice parameters (Å, degrees): 4.629 4.629 4.629 131.51 131.51 71.00
Sites, in units of the cell vectors:
Cr1 0.000 0.000 0.000
Os1 0.750 0.250 0.500
Ru1 0.250 0.750 0.500
Rh1 0.500 0.500 0.000

***

# 8
VASP calculation (PBE) on Be2ReSb after structural relaxation.

Output
Formation energy (no corrections) ... 235 kJ/mol of formula units
Symmetry ... No. 166
D(E_F) ... 2.73 states/eV per cell

Lattice parameters (Å, degrees): 7.815 7.815 7.815 22.25 22.25 22.25
Sites, in units of the cell vectors:
Be1 0.239 0.239 0.239
Be2 0.761 0.761 0.761
Re1 0.500 0.500 0.500
Sb1 0.000 0.000 0.000

***

# 9
VASP calculation (PBE) on Cs2Rb4BeBi2 after structural relaxation.

Output
Energy of formation from the pure elements ... -0.10 eV/atom
Symmetry ... No. 12
D(E_F) ... 2.41 states/eV per cell

Lattice parameters (Å, degrees): 9.132 9.132 7.133 104.66 104.66 59.91
Sites, in units of the cell vectors:
Cs1 0.152 0.152 0.297
Cs2 0.848 0.848 0.703
Rb1 0.164 0.613 0.248
Rb2 0.387 0.836 0.752
Rb3 0.613 0.164 0.248
Rb4 0.836 0.387 0.752
Be1 0.500 0.500 0.000
Bi1 0.360 0.360 0.751
Bi2 0.640 0.640 0.249

***

# 10
VASP calculation (PBE) on Be2P after structural relaxation.

Output
Energy of formation from the pure elements ... -0.03 eV/atom
Symmetry ... No. 4
D(E_F) ... 0.65 states/eV per cell

Lattice parameters (Å, degrees): 3.564 3.945 5.382 90.00 104.92 90.00
Sites, in units of the cell vectors:
Be1 0.042 0.000 0.139
Be2 0.133 0.798 0.553
Be3 0.867 0.298 0.447
Be4 0.958 0.500 0.861
P1 0.300 0.497 0.257
P2 0.700 0.997 0.743

***

# 11
VASP calculation (PBE) on BeAgS3 after structural relaxation.

Output
Formation energy (no corrections) ... 194 kJ/mol of formula units
Symmetry ... No. 221
D(E_F) ... 5.53 states/eV per cell

Lattice parameters (Å, degrees): 4.382 4.382 4.382 90.00 90.00 90.00
Sites, in units of the cell vectors:
Be1 0.000 0.000 0.000
Ag1 0.500 0.500 0.500
S1 0.000 0.000 0.500
S2 0.000 0.500 0.000
S3 0.500 0.000 0.000

***

# 12
VASP calculation (PBE) on KZr2Cu after structural relaxation.

Output
Energy of formation from the pure elements ... 0.56 eV/atom
Symmetry ... No. 8
D(E_F) ... 3.91 states/eV per cell

Lattice parameters (Å, degrees): 5.377 5.377 7.317 98.42 98.42 33.78
Sites, in units of the cell vectors:
K1 0.000 0.000 0.000
Zr1 0.207 0.207 0.596
Zr2 0.471 0.471 0.484
Cu1 0.750 0.750 0.313

***

Number 1: total moment 0.0 Bohr magnetons per cell. Number 2: total moment 0.0 Bohr magnetons per cell. Number 3: total moment 0.0 Bohr magnetons per cell. Number 4: total moment 1.2 Bohr magnetons per cell. Number 5: total moment 2.0 Bohr magnetons per cell. Number 6: total moment 0.0 Bohr magnetons per cell. Number 7: total moment 0.5 Bohr magnetons per cell. Number 8: total moment 0.0 Bohr magnetons per cell. Number 9: total moment 0.0 Bohr magnetons per cell. Number 10: total moment 0.0 Bohr magnetons per cell. Number 11: total moment 0.0 Bohr magnetons per cell. Number 12: total moment 0.0 Bohr magnetons per cell.